Entry 1:
The following is a DFT calculation (PBE-GGA) of an optimized crystal structure of RbFeHg3.

Values from the calculation:
* magnetization: 3.25 μB/cell
* excess energy over the best structure of this formula in the dataset: 83.2 kJ per mole of atoms

a b c (Å): 6.876 6.876 6.876
angles (deg): 90.00 90.00 90.00
Last column: magnetic moment on the atom in μB.
Atoms (fractional coordinates):
Hg  0.000  0.500  0.000  -0.01
Hg  0.000  0.000  0.500  -0.01
Hg  0.500  0.000  0.000  -0.01
Rb  0.000  0.000  0.000  -0.01
Fe  0.500  0.500  0.500  3.33

Entry 2:
The following is a DFT calculation (PBE-GGA) of an optimized crystal structure of RbFe3Hg.

Values from the calculation:
* magnetization: 9.71 μB/cell
* excess energy over the best structure of this formula in the dataset: 0.0 kJ per mole of atoms

a b c (Å): 5.117 5.117 5.117
angles (deg): 90.00 90.00 90.00
Last column: magnetic moment on the atom in μB.
Atoms (fractional coordinates):
Hg  0.000  0.000  0.000  -0.01
Rb  0.500  0.500  0.500  0.00
Fe  0.000  0.500  0.000  3.22
Fe  0.000  0.000  0.500  3.46
Fe  0.500  0.000  0.000  2.77

Entry 3:
The following is a DFT calculation (PBE-GGA) of an optimized crystal structure of RbFe3Hg.

Values from the calculation:
* magnetization: 7.54 μB/cell
* excess energy over the best structure of this formula in the dataset: 100.1 kJ per mole of atoms

a b c (Å): 4.705 4.705 4.705
angles (deg): 90.00 90.00 90.00
Last column: magnetic moment on the atom in μB.
Atoms (fractional coordinates):
Hg  0.500  0.500  0.500  -0.01
Rb  0.000  0.000  0.000  -0.05
Fe  0.000  0.500  0.000  2.67
Fe  0.000  0.000  0.500  2.42
Fe  0.500  0.000  0.000  2.71

Entry 4:
The following is a DFT calculation (PBE-GGA) of an optimized crystal structure of RbSc2FeHg.

Values from the calculation:
* total energy: -4.26 eV per atom
* magnetization: 0.00 μB/cell

a b c (Å): 4.866 5.454 4.866
angles (deg): 90.00 90.00 90.00
Atoms (fractional coordinates):
Sc  0.000  0.000  0.500
Sc  0.500  0.000  0.000
Hg  0.000  0.500  0.000
Rb  0.500  0.500  0.500
Fe  0.000  0.000  0.000

Entry 5:
The following is a DFT calculation (PBE-GGA) of an optimized crystal structure of RbFeSn2Hg.

Values from the calculation:
* total energy: -2.54 eV per atom
* magnetization: 3.12 μB/cell

a b c (Å): 5.775 6.433 5.775
angles (deg): 90.00 90.00 90.00
Last column: magnetic moment on the atom in μB.
Atoms (fractional coordinates):
Fe  0.500  0.500  0.500  3.30
Hg  0.000  0.000  0.000  0.00
Rb  0.000  0.500  0.000  -0.01
Sn  0.000  0.000  0.500  -0.08
Sn  0.500  0.000  0.000  -0.08

Entry 6:
The following is a DFT calculation (PBE-GGA) of an optimized crystal structure of Rb2SrFeHg.

Values from the calculation:
* total energy: -1.43 eV per atom
* magnetization: 0.11 μB/cell

a b c (Å): 7.555 4.930 7.555
angles (deg): 90.00 90.00 90.00
Last column: magnetic moment on the atom in μB.
Atoms (fractional coordinates):
Sr  0.000  0.000  0.000  0.01
Hg  0.500  0.500  0.500  0.00
Rb  0.000  0.000  0.500  0.00
Rb  0.500  0.000  0.000  0.00
Fe  0.000  0.500  0.000  -0.06

Entry 7:
The following is a DFT calculation (PBE-GGA) of an optimized crystal structure of RbZrFeHg2.

Values from the calculation:
* total energy: -3.10 eV per atom
* magnetization: 0.00 μB/cell

a b c (Å): 5.861 4.539 5.861
angles (deg): 90.00 90.00 90.00
Atoms (fractional coordinates):
Rb  0.500  0.500  0.500
Hg  0.000  0.000  0.500
Hg  0.500  0.000  0.000
Zr  0.000  0.000  0.000
Fe  0.000  0.500  0.000

Entry 8:
The following is a DFT calculation (PBE-GGA) of an optimized crystal structure of FeReHg2.

Values from the calculation:
* magnetization: 3.69 μB/cell
* excess energy over the best structure of this formula in the dataset: 39.1 kJ per mole of atoms

a b c (Å): 4.036 4.036 4.220
angles (deg): 90.00 90.00 90.00
Last column: magnetic moment on the atom in μB.
Atoms (fractional coordinates):
Fe  0.000  0.500  0.500  2.90
Hg  0.000  0.000  0.000  -0.01
Hg  0.500  0.500  0.000  -0.01
Re  0.500  0.000  0.500  0.71

Entry 9:
The following is a DFT calculation (PBE-GGA) of an optimized crystal structure of FeReHg2.

Values from the calculation:
* magnetization: 0.00 μB/cell
* excess energy over the best structure of this formula in the dataset: 73.5 kJ per mole of atoms

a b c (Å): 4.550 4.550 4.550
angles (deg): 60.00 60.00 60.00
Atoms (fractional coordinates):
Re  0.500  0.500  0.500
Hg  0.250  0.250  0.250
Hg  0.750  0.750  0.750
Fe  0.000  0.000  0.000

Entry 10:
The following is a DFT calculation (PBE-GGA) of an optimized crystal structure of Fe2ReHg.

Values from the calculation:
* magnetization: 4.03 μB/cell
* excess energy over the best structure of this formula in the dataset: 18.5 kJ per mole of atoms

a b c (Å): 4.573 4.573 5.004
angles (deg): 81.90 81.90 35.55
Last column: magnetic moment on the atom in μB.
Atoms (fractional coordinates):
Fe  0.995  0.995  0.054  2.14
Fe  0.505  0.505  0.446  2.14
Hg  0.750  0.750  0.750  -0.01
Re  0.250  0.250  0.250  -0.22

Entry 11:
The following is a DFT calculation (PBE-GGA) of an optimized crystal structure of FeReHg2.

Values from the calculation:
* magnetization: 2.93 μB/cell
* excess energy over the best structure of this formula in the dataset: 48.3 kJ per mole of atoms

a b c (Å): 5.016 5.016 5.016
angles (deg): 131.76 131.76 70.61
Last column: magnetic moment on the atom in μB.
Atoms (fractional coordinates):
Fe  0.750  0.250  0.500  2.79
Hg  0.000  0.000  0.000  -0.01
Hg  0.250  0.750  0.500  -0.01
Re  0.500  0.500  0.000  0.17

Entry 12:
The following is a DFT calculation (PBE-GGA) of an optimized crystal structure of FeReHg2.

Values from the calculation:
* magnetization: 3.69 μB/cell
* excess energy over the best structure of this formula in the dataset: 45.5 kJ per mole of atoms

a b c (Å): 5.121 5.121 5.121
angles (deg): 133.66 133.66 67.62
Last column: magnetic moment on the atom in μB.
Atoms (fractional coordinates):
Fe  0.750  0.250  0.500  2.81
Hg  0.000  0.000  0.000  -0.01
Hg  0.500  0.500  0.000  -0.01
Re  0.250  0.750  0.500  0.85